This record from the Alexandria database describes an optimized crystal structure of Nd4Ho5Sc. The functional is PBE.

Calculated values
distance to the lowest polymorph of the same formula: 0 meV/atom
space-group type: P-1, No. 2

Cell: 3.504 11.134 8.702 Å, 88.70 101.53 90.01°
Element x y z (fractional)
Nd 0.659 0.253 0.322
Nd 0.972 0.244 0.943
Nd 0.341 0.747 0.678
Nd 0.028 0.756 0.057
Ho 0.173 0.554 0.346
Ho 0.169 0.955 0.339
Ho 0.831 0.045 0.661
Ho 0.500 0.500 0.000
Ho 0.827 0.446 0.654
Sc 0.500 0.000 0.000

=====

This record from the Alexandria database describes an optimized crystal structure of RbPmMgS3. The functional is PBE.

Calculated values
space-group type: P2_1/m, No. 11
DFT total energy: -59.3 eV per cell

Cell: 4.206 9.125 9.939 Å, 107.10 90.00 90.00°
Element x y z (fractional)
Rb 0.250 0.202 0.222
Rb 0.750 0.798 0.778
Pm 0.250 0.666 0.138
Pm 0.750 0.334 0.862
Mg 0.250 0.084 0.608
Mg 0.750 0.916 0.392
S 0.750 0.878 0.142
S 0.250 0.122 0.858
S 0.250 0.812 0.458
S 0.750 0.188 0.542
S 0.750 0.463 0.150
S 0.250 0.537 0.850

=====

Which Fermi-level density of states belongs to each record? In order, 1.3962; 0.0000 states/eV/atom.